Compound: NaTlVO4
Source: Alexandria via LeMat-Bulk
Functional: PBE+U
Structure: optimized geometry

a = 5.6783 Å, b = 6.0651 Å, c = 7.3657 Å
α = 90.00°, β = 101.05°, γ = 90.00°
Element x y z (fractional)
O  0.3549  0.2500  0.7033
O  0.1852  0.5174  0.1940
O  0.3016  0.7500  0.5297
O  0.6451  0.7500  0.2967
V  0.3386  0.7500  0.3038
O  0.8148  0.4826  0.8060
Tl  0.0960  0.2500  0.4060
V  0.6614  0.2500  0.6962
Tl  0.9040  0.7500  0.5940
O  0.1852  0.9826  0.1940
O  0.8148  0.0174  0.8060
O  0.6984  0.2500  0.4703
Na  0.1691  0.2500  0.9568
Na  0.8309  0.7500  0.0432

Output
theoretical density	4566	kg/m³
electronic total energy	-5.935	eV/atom